A plane-wave DFT calculation with GGA+U was carried out for a relaxed structure of Tl2FeF6.

E_tot: -79.5 eV per cell
Total moment: 8.97 μB per cell

a = 5.8706 Å, b = 5.8706 Å, c = 10.4225 Å
α = 90.00°, β = 90.00°, γ = 120.00°
Closest atoms and distances in Å follow each position.
Space group P6_3mc (No. 186)
Unique sites:
Tl (0.0000, 0.0000, 0.0000) (multiplicity 2)  3 F 2.68
Tl (0.3333, 0.6667, 0.2440) (multiplicity 2)  3 F 2.35
Fe (0.3333, 0.6667, 0.7066) (multiplicity 2)  6 F 1.93-1.98
F (0.0160, 0.5080, 0.5957) (multiplicity 6)  1 Fe 1.98
F (0.1732, 0.3464, 0.8058) (multiplicity 6)  1 Fe 1.93